[1]
Crystalline KTl16In12 at its relaxed geometry. Source: the Alexandria database, functional GGA-PBE.

Cell and atoms, written as extended XYZ:
```
29
Lattice="-7.1228 6.6243 3.5445 -2.7184 -9.5855 2.8121 9.3671 2.3618 4.0573" Properties=species:S:1:pos:R:3 pbc="T T T"
In -1.4853 0.8807 7.2858
In -0.6703 -2.1187 7.1503
In 0.6713 -3.1505 1.8263
In 1.9787 2.1329 2.2484
In 6.2364 3.0321 5.7796
In -6.4722 -2.0348 6.1130
In 2.8357 -1.0215 2.1058
In 7.0440 0.0601 5.6453
In 4.1581 -4.6588 6.1567
In 1.3748 5.5849 6.6195
In 1.6539 0.1155 7.3893
In -0.9705 2.8918 2.0993
Tl 4.7325 -1.6162 7.2773
Tl -1.2385 -4.0182 4.5108
Tl 1.9831 -2.4881 5.1573
Tl -1.7868 4.4410 7.3965
Tl -2.9952 2.4470 4.8029
Tl 0.8704 -5.3385 6.9546
Tl 0.0084 0.0016 0.0157
Tl 3.6034 0.7586 4.8801
Tl -0.1646 -0.2108 3.6761
Tl 0.5719 2.7056 5.3919
Tl -1.7058 -6.1440 1.8233
Tl -4.5334 4.2628 2.2935
Tl 1.7607 -5.6447 3.5355
Tl 3.4327 3.1674 7.4935
Tl -3.7331 -1.4180 8.9351
Tl -1.2514 5.4410 4.0364
K -3.3386 -1.1284 4.8964
```

Formation energy: -0.0025 eV/atom
Fermi-level density of states: 0.419 states/eV per atom
Symmetry: Cm (8)

=====

[2]
Crystalline CeAl2Ni2 at its relaxed geometry. Source: the Alexandria database, functional GGA-PBE.

Cell and atoms, written as extended XYZ:
```
5
Lattice="-0.5970 -0.8384 -3.8488 -3.1470 -2.2396 0.9760 -1.2781 5.7761 1.0020" Properties=species:S:1:pos:R:3 pbc="T T T"
Al -3.1486 0.9987 0.2708
Al -1.8736 1.6993 -2.1416
Ce 0.0000 0.0000 0.0000
Ni -2.5899 -0.5734 -1.5353
Ni -2.4322 3.2714 -0.3354
```

Formation energy: -0.5505 eV/atom
Fermi-level density of states: 1.175 states/eV per atom
Symmetry: I4/mmm (139)

=====

[3]
Crystalline Sm2TmTlC at its relaxed geometry. Source: the Alexandria database, functional GGA-PBE.

Cell and atoms, written as extended XYZ:
```
5
Lattice="-3.7673 -0.2139 3.0363 3.0024 -1.9489 3.5879 1.0633 4.6730 1.6485" Properties=species:S:1:pos:R:3 pbc="T T T"
Tl 0.1492 1.2551 4.1364
Sm 1.5012 -0.9745 1.7939
Sm 0.5317 2.3365 0.8243
C 0.0000 0.0000 0.0000
Tm -1.8836 -0.1070 1.5182
```

Formation energy: -0.3868 eV/atom
Fermi-level density of states: 0.369 states/eV per atom
Symmetry: P4/mmm (123)

=====

[4]
Crystalline RbPmCdS3 at its relaxed geometry. Source: the Alexandria database, functional GGA-PBE.

Cell and atoms, written as extended XYZ:
```
12
Lattice="4.2264 0.0000 0.0000 0.0000 9.0250 -0.2961 0.0000 -2.6993 9.7286" Properties=species:S:1:pos:R:3 pbc="T T T"
Rb 1.0566 1.2760 2.1620
Rb 3.1698 5.0498 7.2705
Cd 3.1698 7.1946 3.5097
Cd 1.0566 -0.8689 5.9229
Pm 1.0566 5.6618 1.1343
Pm 3.1698 0.6639 8.2982
S 3.1698 3.7924 1.2901
S 3.1698 7.6014 1.0431
S 3.1698 0.4443 5.2148
S 1.0566 2.5334 8.1425
S 1.0566 -1.2756 8.3895
S 1.0566 5.8814 4.2178
```

Raw formation energy: -1.3871 eV per atom
Fermi-level density of states: 0.000 states/eV per atom
Symmetry: P2_1/m (11)

=====

| no. | uncorrected energy (eV for the cell shown) |
| --- | --- |
| 1 | -71.9 |
| 2 | -27.7 |
| 3 | -27.4 |
| 4 | -54.7 |